# 1
GaSb2PbS | PBE | relaxed

a = 5.407 Å, b = 4.741 Å, c = 5.407 Å
α = 90.00°, β = 90.00°, γ = 90.00°
Positions (direct):
S  0.000  0.500  0.000
Pb  0.500  0.500  0.500
Sb  0.000  0.000  0.500
Ga  0.000  0.000  0.000
Sb  0.500  0.000  0.000

Properties
Volume ... 27.727 A^3/atom
Size of the total moment ... 0.00 μB/cell
SG ... No. 123
ΔE_f (raw) ... 304 meV per atom


# 2
GaSbPb2S5 | PBE | relaxed

a = 3.923 Å, b = 9.096 Å, c = 12.519 Å
α = 90.00°, β = 90.00°, γ = 102.45°
Positions (direct):
Ga  0.552  0.104  0.929
S  0.651  0.302  0.511
Ga  0.448  0.896  0.429
S  0.288  0.575  0.677
S  0.323  0.646  0.370
S  0.967  0.934  0.531
S  0.349  0.698  0.011
S  0.512  0.023  0.273
Sb  0.205  0.410  0.029
Sb  0.795  0.590  0.529
S  0.677  0.354  0.870
Pb  0.876  0.751  0.824
Pb  0.880  0.760  0.180
S  0.488  0.977  0.773
S  0.033  0.066  0.031
Pb  0.120  0.240  0.680
S  0.712  0.425  0.177
Pb  0.124  0.249  0.324

Properties
Volume ... 24.236 A^3/atom
Size of the total moment ... 0.00 μB/cell
SG ... No. 36
ΔE_f (raw) ... -490 meV per atom